[1]
Here is a geometry-optimized Fe5Co3 structure from the Alexandria database. Energies are from PBEsol.

a = 5.578 Å, b = 7.882 Å, c = 3.965 Å
α = 90.00°, β = 90.00°, γ = 90.00°
Space group Cmmm (No. 65)
Asymmetric unit:
Fe1 0.000 0.000 0.000
Fe2 0.000 0.251 0.500
Fe3 0.250 0.250 0.000
Co1 0.000 0.500 0.000
Co2 0.249 0.000 0.500

Results
Calculated formation energy, eV/atom: 0.0175
Spin magnetization, μB/f.u.: 17.86
Calculated density, g/cm³: 8.7
D(E_F), states/eV/atom: 0.672
Distance to the lowest polymorph of the same formula, meV/atom: 30

=====

[2]
Here is a geometry-optimized Fe7Co structure from the Alexandria database. Energies are from PBEsol.

a = 2.784 Å, b = 3.948 Å, c = 7.919 Å
α = 90.00°, β = 90.00°, γ = 90.00°
Space group Pmmm (No. 47)
Asymmetric unit:
Fe1 0.000 0.000 0.000
Fe2 0.000 0.000 0.500
Fe3 0.000 0.500 0.249
Fe4 0.500 0.000 0.250
Fe5 0.500 0.500 0.500
Co1 0.500 0.500 0.000

Results
Calculated formation energy, eV/atom: 0.0206
Spin magnetization, μB/f.u.: 17.75
Calculated density, g/cm³: 8.6
D(E_F), states/eV/atom: 0.900
Distance to the lowest polymorph of the same formula, meV/atom: 1

=====

[3]
Here is a geometry-optimized Fe5Co3 structure from the Alexandria database. Energies are from PBEsol.

a = 2.795 Å, b = 3.953 Å, c = 15.833 Å
α = 90.00°, β = 90.00°, γ = 90.00°
Space group Imm2 (No. 44)
Asymmetric unit:
Fe1 0.000 0.000 0.000
Fe2 0.000 0.000 0.250
Fe3 0.000 0.000 0.500
Fe4 0.000 0.500 0.375
Fe5 0.000 0.500 0.625
Co1 0.000 0.000 0.751
Co2 0.000 0.500 0.124
Co3 0.000 0.500 0.875

Results
Calculated formation energy, eV/atom: 0.0056
Spin magnetization, μB/f.u.: 17.92
Calculated density, g/cm³: 8.7
D(E_F), states/eV/atom: 0.583
Distance to the lowest polymorph of the same formula, meV/atom: 18

=====

[4]
Here is a geometry-optimized Ga2FeCo structure from the Alexandria database. Energies are from PBEsol.

a = 2.841 Å, b = 2.841 Å, c = 5.686 Å
α = 90.00°, β = 90.00°, γ = 90.00°
Space group P4/mmm (No. 123)
Asymmetric unit:
Ga1 0.000 0.000 0.249
Fe1 0.500 0.500 0.000
Co1 0.500 0.500 0.500

Results
Calculated formation energy, eV/atom: -0.2467
Spin magnetization, μB/f.u.: 0.37
Calculated density, g/cm³: 9.2
D(E_F), states/eV/atom: 0.822

=====

[5]
Here is a geometry-optimized GaFe2Co4Si structure from the Alexandria database. Energies are from PBEsol.

a = 3.9496 Å, b = 3.9496 Å, c = 19.3829 Å
α = 90.00°, β = 90.00°, γ = 120.00°
Space group R-3m (No. 166, hexagonal axes)
Asymmetric unit:
Ga1 0.0000 0.0000 0.0000
Fe1 0.0000 0.0000 0.2508
Co1 0.0000 0.0000 0.1278
Co2 0.0000 0.0000 0.3780
Si1 0.0000 0.0000 0.5000

Results
ΔE_f (raw), eV/atom: -0.324
Spin magnetization, μB/f.u.: 10.55
Calculated density, g/cm³: 8.5
D(E_F), states/eV/atom: 0.383

=====

[6]
Here is a geometry-optimized Ga3Fe4Co8Si structure from the Alexandria database. Energies are from PBEsol.

a = 3.9661 Å, b = 3.9661 Å, c = 38.8973 Å
α = 90.00°, β = 90.00°, γ = 120.00°
Space group R-3m (No. 166, hexagonal axes)
Asymmetric unit:
Ga1 0.0000 0.0000 0.0000
Ga2 0.0000 0.0000 0.2495
Fe1 0.0000 0.0000 0.1249
Fe2 0.0000 0.0000 0.3752
Co1 0.0000 0.0000 0.0629
Co2 0.0000 0.0000 0.1861
Co3 0.0000 0.0000 0.3124
Co4 0.0000 0.0000 0.4394
Si1 0.0000 0.0000 0.5000

Results
ΔE_f (raw), eV/atom: -0.281
Spin magnetization, μB/f.u.: 20.70
Calculated density, g/cm³: 8.8
D(E_F), states/eV/atom: 0.281

=====

[7]
Here is a geometry-optimized GaFe4Co8Si3 structure from the Alexandria database. Energies are from PBEsol.

a = 3.9336 Å, b = 3.9336 Å, c = 38.5672 Å
α = 90.00°, β = 90.00°, γ = 120.00°
Space group R-3m (No. 166, hexagonal axes)
Asymmetric unit:
Ga1 0.0000 0.0000 0.0000
Fe1 0.0000 0.0000 0.1256
Fe2 0.0000 0.0000 0.3750
Co1 0.0000 0.0000 0.0643
Co2 0.0000 0.0000 0.1875
Co3 0.0000 0.0000 0.3108
Co4 0.0000 0.0000 0.4378
Si1 0.0000 0.0000 0.2496
Si2 0.0000 0.0000 0.5000

Results
ΔE_f (raw), eV/atom: -0.357
Spin magnetization, μB/f.u.: 20.98
Calculated density, g/cm³: 8.2
D(E_F), states/eV/atom: 0.616

=====

[8]
Here is a geometry-optimized ZrGa6Fe3Co3 structure from the Alexandria database. Energies are from PBEsol.

a = 4.891 Å, b = 6.335 Å, c = 6.354 Å
α = 80.31°, β = 67.84°, γ = 67.83°
Space group P-1 (No. 2)
Asymmetric unit:
Zr1 0.000 0.000 0.000
Ga1 0.008 0.666 0.338
Ga2 0.322 0.175 0.179
Ga3 0.337 0.660 0.655
Fe1 0.000 0.500 0.000
Fe2 0.500 0.000 0.500
Fe3 0.500 0.500 0.000
Co1 0.000 0.000 0.500
Co2 0.486 0.245 0.760

Results
Calculated formation energy, eV/atom: -0.3449
Spin magnetization, μB/f.u.: 7.43
Calculated density, g/cm³: 8.4
D(E_F), states/eV/atom: 0.779